No. 1
A plane-wave DFT calculation with PBEsol was carried out for a relaxed SrCuNi crystal.

Values from the calculation:
calculated total energy = -10.912 eV for the cell shown
density of states at the Fermi level = 2.6 states/eV/f.u.
ΔH_f (0 K) = 473 meV/atom
SG = No. 216
energy relative to the lowest polymorph listed for this composition = 0.418 eV/atom
total magnetization = 0.001 μB/cell

Cell lengths 4.4827, 4.4827, 4.4827 Å; angles 60.00, 60.00, 60.00 degrees
Positions (direct):
Sr 0.5000 0.5000 0.5000
Ni 0.0000 0.0000 0.0000
Cu 0.2500 0.2500 0.2500

=====

No. 2
A plane-wave DFT calculation with PBEsol was carried out for a relaxed TaCu2Ni crystal.

Values from the calculation:
calculated total energy = -26.804 eV for the cell shown
density of states at the Fermi level = 2.6 states/eV/f.u.
ΔH_f (0 K) = 143 meV/atom
SG = No. 160
total magnetization = 0.001 μB/cell

Cell lengths 2.6977, 2.6977, 8.4245 Å; angles 80.79, 80.79, 60.00 degrees
Positions (direct):
Cu 0.0056 0.0056 0.9831
Ta 0.2476 0.2476 0.2573
Cu 0.7509 0.7509 0.7472
Ni 0.4959 0.4959 0.5124